(1)
# PPtAuCl2

PPtAuCl2 after structural relaxation (GGA-PBE, Alexandria via LeMat-Bulk).

Formation energy without anion corrections: 0.467 eV per atom
Density of states at the Fermi level: 3.78 states/eV/f.u.
Mass density: 7.234 g/cm³
Energy relative to the lowest polymorph listed for this composition: 0 meV/atom

abc: 4.9630 4.9630 4.6030
angles: 90.00 90.00 90.00
Last column: nearest neighbours and their distance in Å.
Atoms (fractional coordinates):
P: 0.0000 0.0000 0.5000  2 Pt 2.30
Au: 0.5000 0.5000 0.5000  8 Cl 3.38, 4 P 3.51
Pt: 0.0000 0.0000 0.0000  2 P 2.30, 4 Cl 2.48
Cl: 0.0000 0.5000 0.0000  2 Pt 2.48
Cl: 0.5000 0.0000 0.0000  2 Pt 2.48

(2)
# PPtAuCl2

PPtAuCl2 after structural relaxation (GGA-PBE, Alexandria via LeMat-Bulk).

Formation energy without anion corrections: 1.014 eV per atom
Density of states at the Fermi level: 2.80 states/eV/f.u.
Mass density: 6.999 g/cm³
Energy relative to the lowest polymorph listed for this composition: 546 meV/atom

abc: 4.7996 4.7996 5.0871
angles: 90.00 90.00 90.00
Last column: nearest neighbours and their distance in Å.
Atoms (fractional coordinates):
P: 0.0000 0.0000 0.5000  2 Au 2.54
Au: 0.0000 0.0000 0.0000  4 Cl 2.40, 2 P 2.54
Pt: 0.5000 0.5000 0.5000  4 P 3.39, 8 Cl 3.50
Cl: 0.0000 0.5000 0.0000  2 Au 2.40
Cl: 0.5000 0.0000 0.0000  2 Au 2.40

(3)
# RbPAuCl2

RbPAuCl2 after structural relaxation (GGA-PBE, Alexandria via LeMat-Bulk).

Formation energy without anion corrections: 0.708 eV per atom
Density of states at the Fermi level: 5.01 states/eV/f.u.
Mass density: 2.644 g/cm³
Energy relative to the lowest polymorph listed for this composition: 1092 meV/atom

abc: 6.0894 6.0894 6.5100
angles: 90.00 90.00 90.00
Last column: nearest neighbours and their distance in Å.
Atoms (fractional coordinates):
P: 0.0000 0.0000 0.5000  2 Rb 3.26
Au: 0.5000 0.5000 0.5000  4 P 4.31, 8 Cl 4.46
Rb: 0.0000 0.0000 0.0000  4 Cl 3.04, 2 P 3.26
Cl: 0.0000 0.5000 0.0000  2 Rb 3.04
Cl: 0.5000 0.0000 0.0000  2 Rb 3.04

(4)
# RbP2AuCl

RbP2AuCl after structural relaxation (GGA-PBE, Alexandria via LeMat-Bulk).

Formation energy without anion corrections: 0.073 eV per atom
Density of states at the Fermi level: 5.28 states/eV/f.u.
Mass density: 3.829 g/cm³
Energy relative to the lowest polymorph listed for this composition: 0 meV/atom

abc: 4.7057 4.7057 7.4386
angles: 90.00 90.00 90.00
Last column: nearest neighbours and their distance in Å.
Atoms (fractional coordinates):
P: 0.0000 0.5000 0.0000  2 Au 2.35
P: 0.5000 0.0000 0.0000  2 Au 2.35
Au: 0.0000 0.0000 0.0000  4 P 2.35
Rb: 0.5000 0.5000 0.5000  4 Cl 3.33
Cl: 0.0000 0.0000 0.5000  4 Rb 3.33, 2 Au 3.72

(5)
# RbPAuCl2

RbPAuCl2 after structural relaxation (GGA-PBE, Alexandria via LeMat-Bulk).

Formation energy without anion corrections: -0.384 eV per atom
Density of states at the Fermi level: 2.35 states/eV/f.u.
Mass density: 4.353 g/cm³
Energy relative to the lowest polymorph listed for this composition: 0 meV/atom

abc: 5.6215 5.6215 4.6389
angles: 90.00 90.00 90.00
Last column: nearest neighbours and their distance in Å.
Atoms (fractional coordinates):
P: 0.0000 0.0000 0.5000  2 Au 2.32
Au: 0.0000 0.0000 0.0000  2 P 2.32
Rb: 0.5000 0.5000 0.5000  8 Cl 3.64, 4 P 3.97
Cl: 0.0000 0.5000 0.0000  2 Au 2.81
Cl: 0.5000 0.0000 0.0000  2 Au 2.81

(6)
# RbP2AuCl

RbP2AuCl after structural relaxation (GGA-PBE, Alexandria via LeMat-Bulk).

Formation energy without anion corrections: 1.344 eV per atom
Density of states at the Fermi level: 1.80 states/eV/f.u.
Mass density: 2.208 g/cm³
Energy relative to the lowest polymorph listed for this composition: 1271 meV/atom

abc: 6.9732 6.9732 5.8760
angles: 90.00 90.00 90.00
Last column: nearest neighbours and their distance in Å.
Atoms (fractional coordinates):
P: 0.0000 0.5000 0.0000  2 Rb 3.49
P: 0.5000 0.0000 0.0000  2 Rb 3.49
Au: 0.5000 0.5000 0.5000  8 P 4.56, 4 Cl 4.93
Rb: 0.0000 0.0000 0.0000  2 Cl 2.94
Cl: 0.0000 0.0000 0.5000  2 Rb 2.94

Question: Which of these has the lowest mass density?
Answer: number 6

Question: Which of these has the lowest formation energy without anion corrections?
Answer: number 5